## Ho2Cu2Rh (PBE)

Data for a relaxed Ho2Cu2Rh crystal.

Computed properties:
For the total energy, the calculation gives -53.01 eV/cell.

Unit cell a=7.5031 b=5.0733 c=5.4668 alpha=90.00 beta=112.45 gamma=90.00
With the nearest neighbours (Å) after each atom.
Sites, in units of the cell vectors:
Ho 0.2451 0.0000 0.2276  5 Cu 2.71-3.02, 1 Rh 2.77
Ho 0.2549 0.5000 0.7724  5 Cu 2.71-3.02, 1 Rh 2.77
Ho 0.7451 0.5000 0.2276  5 Cu 2.71-3.02, 1 Rh 2.77
Ho 0.7549 0.0000 0.7724  5 Cu 2.71-3.02, 1 Rh 2.77
Cu 0.1152 0.5000 0.2219  1 Cu 2.38
Cu 0.3848 0.0000 0.7781  1 Cu 2.38
Cu 0.6152 0.0000 0.2219  1 Cu 2.38
Cu 0.8848 0.5000 0.7781  1 Cu 2.38
Rh 0.0000 0.0000 0.5000  2 Cu 2.70, 2 Ho 2.77
Rh 0.5000 0.5000 0.5000  2 Cu 2.70, 2 Ho 2.77



## HoCuRh (PBE)

Data for a relaxed HoCuRh crystal.

Computed properties:
The polymorph energy (0 for the lowest one) comes out at 0.000 eV/atom.

Unit cell a=4.2041 b=9.6168 c=5.3335 alpha=90.00 beta=90.00 gamma=90.00
With the nearest neighbours (Å) after each atom.
Sites, in units of the cell vectors:
Ho 0.0000 0.2018 0.2500  5 Rh 2.83-2.89, 6 Cu 3.16
Ho 0.0000 0.7982 0.7500  5 Rh 2.83-2.89, 6 Cu 3.16
Ho 0.5000 0.2982 0.7500  5 Rh 2.83-2.89, 6 Cu 3.16
Ho 0.5000 0.7018 0.2500  5 Rh 2.83-2.89, 6 Cu 3.16
Cu 0.0000 0.5000 0.0000  4 Rh 2.64, 2 Cu 2.67
Cu 0.0000 0.5000 0.5000  4 Rh 2.64, 2 Cu 2.67
Cu 0.5000 0.0000 0.0000  4 Rh 2.64, 2 Cu 2.67
Cu 0.5000 0.0000 0.5000  4 Rh 2.64, 2 Cu 2.67
Rh 0.0000 0.0925 0.7500  4 Cu 2.64, 5 Ho 2.83-2.89
Rh 0.0000 0.9075 0.2500  4 Cu 2.64, 5 Ho 2.83-2.89
Rh 0.5000 0.4075 0.2500  4 Cu 2.64, 5 Ho 2.83-2.89
Rh 0.5000 0.5925 0.7500  4 Cu 2.64, 5 Ho 2.83-2.89



Number 1: theoretical density 9.67 g cm⁻³, D(E_F) 4.9 states/eV per cell. Number 2: theoretical density 10.21 g cm⁻³, D(E_F) 5.1 states/eV per cell.